Record 1
Compound: Mg4In2Ga5
Source: Alexandria
Functional: GGA-PBE
Structure: relaxed

Output
* mass density: 4.93 Mg/m³
* formation energy from the elements: -1.0 eV per formula unit
* volume: 228 Å³/cell
* space group: P2/m

Cell: 8.9567 3.0879 9.2390 Å, 90.00 117.03 90.00°
Fractional positions:
Mg  0.2090  0.0000  0.0487
Mg  0.2749  0.0000  0.5063
Mg  0.7251  0.0000  0.4937
Mg  0.7910  0.0000  0.9513
In  0.3359  0.5000  0.8295
In  0.6641  0.5000  0.1705
Ga  0.0000  0.5000  0.5000
Ga  0.0405  0.5000  0.2171
Ga  0.4198  0.5000  0.3265
Ga  0.5802  0.5000  0.6735
Ga  0.9595  0.5000  0.7829

***

Record 2
Compound: Nd5YAl2
Source: Alexandria
Functional: GGA-PBE
Structure: relaxed

Output
* mass density: 5.57 Mg/m³
* formation energy from the elements: -0.2 eV per formula unit
* volume: 515 Å³/cell
* space group: P6_3/mmc

Cell: 5.4456 5.4456 20.0598 Å, 90.00 90.00 120.00°
Fractional positions:
Nd  0.0000  0.0000  0.1544
Nd  0.0000  0.0000  0.3456
Nd  0.0000  0.0000  0.6544
Nd  0.0000  0.0000  0.8456
Nd  0.3333  0.6667  0.0551
Nd  0.3333  0.6667  0.2500
Nd  0.3333  0.6667  0.4449
Nd  0.6667  0.3333  0.5551
Nd  0.6667  0.3333  0.7500
Nd  0.6667  0.3333  0.9449
Y  0.3333  0.6667  0.7500
Y  0.6667  0.3333  0.2500
Al  0.3333  0.6667  0.6012
Al  0.3333  0.6667  0.8988
Al  0.6667  0.3333  0.1012
Al  0.6667  0.3333  0.3988

***

Record 3
Compound: NbGe2Ru
Source: Alexandria
Functional: GGA-PBE
Structure: relaxed

Output
* mass density: 9.02 Mg/m³
* formation energy from the elements: -0.3 eV per formula unit
* volume: 250 Å³/cell
* energy above the lowest structure with this stoichiometry: 125 meV per atom
* space group: Fm-3m

Cell: 6.2980 6.2980 6.2980 Å, 90.00 90.00 90.00°
Fractional positions:
Nb  0.0000  0.0000  0.0000
Nb  0.0000  0.5000  0.5000
Nb  0.5000  0.0000  0.5000
Nb  0.5000  0.5000  0.0000
Ge  0.2500  0.2500  0.2500
Ge  0.2500  0.2500  0.7500
Ge  0.2500  0.7500  0.2500
Ge  0.2500  0.7500  0.7500
Ge  0.7500  0.2500  0.2500
Ge  0.7500  0.2500  0.7500
Ge  0.7500  0.7500  0.2500
Ge  0.7500  0.7500  0.7500
Ru  0.0000  0.0000  0.5000
Ru  0.0000  0.5000  0.0000
Ru  0.5000  0.0000  0.0000
Ru  0.5000  0.5000  0.5000

***

Record 4
Compound: Cs4Ac3PuTe8
Source: Alexandria
Functional: GGA-PBE
Structure: relaxed

Output
* mass density: 5.63 Mg/m³
* uncorrected formation energy: -1.39 eV per atom
* volume: 731 Å³/cell
* space group: R-3m

Cell: 10.5551 10.5551 10.5551 Å, 54.83 54.83 54.83°
Fractional positions:
Cs  0.0000  0.0000  0.0000
Cs  0.0000  0.5000  0.5000
Cs  0.5000  0.0000  0.5000
Cs  0.5000  0.5000  0.0000
Ac  0.0000  0.0000  0.5000
Ac  0.0000  0.5000  0.0000
Ac  0.5000  0.0000  0.0000
Pu  0.5000  0.5000  0.5000
Te  0.2347  0.2347  0.2347
Te  0.2443  0.7260  0.7260
Te  0.2740  0.2740  0.7557
Te  0.2740  0.7557  0.2740
Te  0.7260  0.2443  0.7260
Te  0.7260  0.7260  0.2443
Te  0.7557  0.2740  0.2740
Te  0.7653  0.7653  0.7653

***

Record 5
Compound: Ce6Ir2AuI3
Source: Alexandria
Functional: GGA-PBE
Structure: relaxed

Output
* mass density: 8.08 Mg/m³
* uncorrected formation energy: -0.85 eV per atom
* volume: 370 Å³/cell
* space group: C2/m

Cell: 7.3427 7.3427 8.2970 Å, 98.49 98.49 119.97°
Fractional positions:
Ce  0.0843  0.4361  0.8085
Ce  0.2116  0.2116  0.1895
Ce  0.4361  0.0843  0.8085
Ce  0.5639  0.9157  0.1915
Ce  0.7884  0.7884  0.8105
Ce  0.9157  0.5639  0.1915
Ir  0.1670  0.8330  0.0000
Ir  0.8330  0.1670  0.0000
Au  0.5000  0.5000  0.0000
I  0.0000  0.0000  0.5000
I  0.3370  0.6630  0.5000
I  0.6630  0.3370  0.5000

***

Record 6
Compound: YAsO2F
Source: Alexandria
Functional: GGA-PBE
Structure: relaxed

Output
* mass density: 4.99 Mg/m³
* uncorrected formation energy: -1.47 eV per atom
* volume: 71 Å³/cell
* space group: P4/mmm

Cell: 4.1091 4.1091 4.2345 Å, 90.00 90.00 90.00°
Fractional positions:
Y  0.0000  0.0000  0.0000
As  0.5000  0.5000  0.5000
O  0.0000  0.5000  0.5000
O  0.5000  0.0000  0.5000
F  0.5000  0.5000  0.0000

***

Record 7
Compound: Rb3LaU2S6
Source: Alexandria
Functional: GGA-PBE
Structure: relaxed

Output
* mass density: 5.08 Mg/m³
* uncorrected formation energy: -1.52 eV per atom
* volume: 348 Å³/cell
* space group: C2/m

Cell: 7.2098 7.2098 8.0936 Å, 98.54 98.54 120.01°
Fractional positions:
Rb  0.0000  0.0000  0.0000
Rb  0.3354  0.6646  0.0000
Rb  0.6646  0.3354  0.0000
La  0.5000  0.5000  0.5000
U  0.1669  0.8331  0.5000
U  0.8331  0.1669  0.5000
S  0.0881  0.4348  0.3049
S  0.2182  0.2182  0.6946
S  0.4348  0.0881  0.3049
S  0.5652  0.9119  0.6951
S  0.7818  0.7818  0.3054
S  0.9119  0.5652  0.6951

***

Record 8
Compound: ScCoTcW
Source: Alexandria
Functional: GGA-PBE
Structure: relaxed

Output
* mass density: 10.61 Mg/m³
* formation energy from the elements: -0.5 eV per formula unit
* volume: 241 Å³/cell
* space group: F-43m

Cell: 6.2264 6.2264 6.2264 Å, 90.00 90.00 90.00°
Fractional positions:
Sc  0.0000  0.0000  0.0000
Sc  0.0000  0.5000  0.5000
Sc  0.5000  0.0000  0.5000
Sc  0.5000  0.5000  0.0000
Co  0.2500  0.2500  0.2500
Co  0.2500  0.7500  0.7500
Co  0.7500  0.2500  0.7500
Co  0.7500  0.7500  0.2500
Tc  0.2500  0.2500  0.7500
Tc  0.2500  0.7500  0.2500
Tc  0.7500  0.2500  0.2500
Tc  0.7500  0.7500  0.7500
W  0.0000  0.0000  0.5000
W  0.0000  0.5000  0.0000
W  0.5000  0.0000  0.0000
W  0.5000  0.5000  0.5000